PmAl7Cu5 | PBE-GGA | relaxed

abc: 6.718 6.718 6.718
angles: 135.18 97.67 99.05
Sites, in units of the cell vectors:
Pm (0.000, 0.000, 0.000)
Al (0.203, 0.493, 0.711)
Al (0.226, 0.726, 0.500)
Al (0.351, 0.351, 0.000)
Al (0.356, 0.007, 0.349)
Al (0.654, 0.654, 0.000)
Al (0.659, 0.007, 0.651)
Al (0.782, 0.493, 0.289)
Cu (0.001, 0.499, 0.005)
Cu (0.001, 0.996, 0.501)
Cu (0.495, 0.499, 0.499)
Cu (0.495, 0.996, 0.995)
Cu (0.771, 0.271, 0.500)

Calculated values
Its formation energy is -0.3483 eV per atom. As for the theoretical density: 5.48 g cm⁻³.